Entry 1:
Compound: Cd2Mo2Os
Source: Alexandria
Functional: PBE-GGA
Structure: relaxed

Results
Total moment in μB/atom: 0.1894
SG: P4/mbm, No. 127
Crystal system: tetragonal
Energy above the lowest structure with this stoichiometry in kJ/mol of formula units: 0
ΔH_f (0 K) in eV/atom: 1.08

Cell lengths 7.8068, 7.8068, 3.0038 Å; angles 90.00, 90.00, 90.00 degrees
Last column: magnetic moment on the atom in μB.
Sites, in units of the cell vectors:
Mo  0.3945  0.1055  0.5000  0.00
Mo  0.8945  0.3945  0.5000  0.00
Mo  0.6055  0.8945  0.5000  0.00
Mo  0.1055  0.6055  0.5000  0.00
Cd  0.6881  0.1881  0.0000  -0.01
Cd  0.1881  0.3119  0.0000  0.00
Cd  0.3119  0.8119  0.0000  -0.01
Cd  0.8119  0.6881  0.0000  0.00
Os  0.0000  0.0000  0.0000  0.92
Os  0.5000  0.5000  0.0000  0.92



Entry 2:
Compound: MgVCoNi
Source: Alexandria
Functional: PBE-GGA
Structure: relaxed

Results
Total moment in μB/atom: 0.4050
SG: F-43m, No. 216
Crystal system: cubic
ΔH_f (0 K) in eV/atom: -0.02

Cell lengths 4.1643, 4.1643, 4.1643 Å; angles 60.00, 60.00, 60.00 degrees
Last column: magnetic moment on the atom in μB.
Sites, in units of the cell vectors:
Co  0.2500  0.2500  0.2500  0.69
V  0.0000  0.0000  0.0000  0.52
Mg  0.5000  0.5000  0.5000  0.00
Ni  0.7500  0.7500  0.7500  0.42



Entry 3:
Compound: Nd6CoAg2
Source: Alexandria
Functional: PBE-GGA
Structure: relaxed

Results
Total moment in μB/atom: 0.0000
SG: P2_1/c, No. 14
Crystal system: monoclinic
Energy above the lowest structure with this stoichiometry in kJ/mol of formula units: 0
ΔH_f (0 K) in eV/atom: -0.09

Cell lengths 6.9331, 7.4771, 10.4376 Å; angles 90.00, 90.00, 90.00 degrees
Sites, in units of the cell vectors:
Ag  0.9499  0.4020  0.7527
Ag  0.5501  0.9020  0.7473
Ag  0.4499  0.0980  0.2527
Ag  0.0501  0.5980  0.2473
Nd  0.8821  0.9866  0.2499
Nd  0.1179  0.0134  0.7501
Nd  0.8199  0.6899  0.9475
Nd  0.1848  0.3098  0.4468
Nd  0.3199  0.8101  0.4475
Nd  0.6179  0.4866  0.2501
Nd  0.6801  0.1899  0.5525
Nd  0.3152  0.8098  0.0532
Nd  0.6848  0.1902  0.9468
Nd  0.1801  0.3101  0.0525
Nd  0.8152  0.6902  0.5532
Nd  0.3821  0.5134  0.7499
Co  0.0000  0.0000  0.5000
Co  0.5000  0.5000  0.0000



Entry 4:
Compound: TaFeSi
Source: Alexandria
Functional: PBE-GGA
Structure: relaxed

Results
Total moment in μB/atom: 0.0000
SG: Pnma, No. 62
Crystal system: orthorhombic
E_tot in eV/atom: -8.844

Cell lengths 3.8902, 5.6289, 7.5254 Å; angles 90.00, 90.00, 90.00 degrees
Sites, in units of the cell vectors:
Ta  0.7500  0.8376  0.4120
Ta  0.2500  0.1624  0.5880
Ta  0.2500  0.6624  0.9120
Ta  0.7500  0.3376  0.0880
Fe  0.7500  0.8652  0.0769
Fe  0.7500  0.3652  0.4231
Fe  0.2500  0.1348  0.9231
Fe  0.2500  0.6348  0.5769
Si  0.7500  0.9640  0.7774
Si  0.7500  0.4640  0.7226
Si  0.2500  0.0360  0.2226
Si  0.2500  0.5360  0.2774



Entry 5:
Compound: Th2BeP3Rh12
Source: Alexandria
Functional: PBE-GGA
Structure: relaxed

Results
Total moment in μB/atom: 0.0000
SG: R-3m, No. 166
Crystal system: trigonal
ΔH_f (0 K) in eV/atom: -0.38

Cell lengths 7.1517, 7.1517, 7.1517 Å; angles 70.47, 70.47, 70.47 degrees
Sites, in units of the cell vectors:
Rh  0.0960  0.6593  0.6593
Rh  0.6593  0.0960  0.6593
Rh  0.9040  0.3407  0.3407
Rh  0.1354  0.1354  0.6437
Rh  0.8646  0.8646  0.3563
Rh  0.8646  0.3563  0.8646
Rh  0.3407  0.9040  0.3407
Rh  0.6593  0.6593  0.0960
Rh  0.3407  0.3407  0.9040
Rh  0.6437  0.1354  0.1354
Rh  0.1354  0.6437  0.1354
Rh  0.3563  0.8646  0.8646
Th  0.6122  0.6122  0.6122
Th  0.3878  0.3878  0.3878
P  0.0000  0.5000  0.0000
P  0.0000  0.0000  0.5000
P  0.5000  0.0000  0.0000
Be  0.0000  0.0000  0.0000



Entry 6:
Compound: TiZnRh4
Source: Alexandria
Functional: PBE-GGA
Structure: relaxed

Results
Total moment in μB/atom: 0.0000
SG: P4/mmm, No. 123
Crystal system: tetragonal
ΔH_f (0 K) in eV/atom: -0.04

Cell lengths 4.0846, 4.0863, 5.8931 Å; angles 89.96, 89.95, 90.00 degrees
Sites, in units of the cell vectors:
Rh  0.5015  0.9971  0.2424
Rh  0.0015  0.4972  0.7537
Rh  0.0012  0.4976  0.2426
Rh  0.5010  0.9974  0.7538
Ti  0.5014  0.4971  0.9981
Zn  0.0013  0.9974  0.4982



Entry 7:
Compound: EuThNiIr
Source: Alexandria
Functional: PBE-GGA
Structure: relaxed

Results
Total moment in μB/atom: 1.7481
SG: F-43m, No. 216
Crystal system: cubic
ΔH_f (0 K) in eV/atom: -0.42

Cell lengths 4.9702, 4.9702, 4.9702 Å; angles 60.00, 60.00, 60.00 degrees
Last column: magnetic moment on the atom in μB.
Sites, in units of the cell vectors:
Ni  0.0000  0.0000  0.0000  0.02
Th  0.2500  0.2500  0.2500  0.07
Eu  0.7500  0.7500  0.7500  6.74
Ir  0.5000  0.5000  0.5000  -0.09



Entry 8:
Compound: RbLa2HBr
Source: Alexandria
Functional: PBE-GGA
Structure: relaxed

Results
Total moment in μB/atom: 0.3314
SG: P4/mmm, No. 123
Crystal system: tetragonal
E_tot in eV/atom: -2.966

Cell lengths 5.6942, 7.0047, 5.6942 Å; angles 90.00, 90.00, 90.00 degrees
Last column: magnetic moment on the atom in μB.
Sites, in units of the cell vectors:
La  0.5000  0.0000  0.0000  0.27
La  0.0000  0.0000  0.5000  0.35
H  0.0000  0.5000  0.0000  -0.01
Br  0.0000  0.0000  0.0000  0.00
Rb  0.5000  0.5000  0.5000  0.02



Entry 9:
Compound: K2Rb2Ag
Source: Alexandria
Functional: PBE-GGA
Structure: relaxed

Results
Total moment in μB/atom: 0.0000
SG: P4/mbm, No. 127
Crystal system: tetragonal
Energy above the lowest structure with this stoichiometry in kJ/mol of formula units: 52
ΔH_f (0 K) in eV/atom: 0.14

Cell lengths 9.3815, 9.3815, 7.5647 Å; angles 90.00, 90.00, 90.00 degrees
Sites, in units of the cell vectors:
Ag  0.0000  0.0000  0.0000
Ag  0.5000  0.5000  0.0000
K  0.3254  0.1746  0.5000
K  0.6746  0.8254  0.5000
K  0.1746  0.6746  0.5000
K  0.8254  0.3254  0.5000
Rb  0.8367  0.6633  0.0000
Rb  0.1633  0.3367  0.0000
Rb  0.3367  0.8367  0.0000
Rb  0.6633  0.1633  0.0000



Entry 10:
Compound: Na2ScAg2
Source: Alexandria
Functional: PBE-GGA
Structure: relaxed

Results
Total moment in μB/atom: 0.0774
SG: P4/mbm, No. 127
Crystal system: tetragonal
Energy above the lowest structure with this stoichiometry in kJ/mol of formula units: 15
ΔH_f (0 K) in eV/atom: 0.14

Cell lengths 7.3299, 7.3299, 4.5829 Å; angles 90.00, 90.00, 90.00 degrees
Last column: magnetic moment on the atom in μB.
Sites, in units of the cell vectors:
Na  0.8349  0.3349  0.5000  0.00
Na  0.6651  0.8349  0.5000  0.00
Na  0.3349  0.1651  0.5000  0.00
Na  0.1651  0.6651  0.5000  0.00
Ag  0.1342  0.3658  0.0000  0.01
Ag  0.3658  0.8658  0.0000  0.01
Ag  0.8658  0.6342  0.0000  0.01
Ag  0.6342  0.1342  0.0000  0.01
Sc  0.5000  0.5000  0.0000  0.20
Sc  0.0000  0.0000  0.0000  0.15



Entry 11:
Compound: SrMnAl
Source: Alexandria
Functional: PBE-GGA
Structure: relaxed

Results
Total moment in μB/atom: 1.1977
SG: P-6m2, No. 187
Crystal system: hexagonal
ΔH_f (0 K) in eV/atom: 0.21

Cell lengths 4.5746, 4.5746, 4.4692 Å; angles 90.00, 90.00, 120.00 degrees
Last column: magnetic moment on the atom in μB.
Sites, in units of the cell vectors:
Al  0.0000  0.0000  0.1668  -0.10
Sr  0.3333  0.6667  0.6665  -0.03
Mn  0.6667  0.3333  0.1667  3.68



Entry 12:
Compound: Pr2YPuO8
Source: Alexandria
Functional: PBE-GGA
Structure: relaxed

Results
Total moment in μB/atom: 0.0829
SG: P-1, No. 2
Crystal system: triclinic
E_tot in eV/atom: -8.808

Cell lengths 4.0540, 5.5919, 7.5780 Å; angles 91.36, 89.64, 96.45 degrees
Last column: magnetic moment on the atom in μB.
Sites, in units of the cell vectors:
O  0.0443  0.7630  0.2281  -0.04
O  0.0549  0.7809  0.7865  -0.07
O  0.4210  0.2116  0.9976  -0.07
O  0.5790  0.7884  0.0024  -0.07
O  0.9557  0.2370  0.7719  -0.04
O  0.9451  0.2191  0.2135  -0.07
O  0.4806  0.2451  0.4907  -0.02
O  0.5194  0.7549  0.5093  -0.02
Pr  0.4999  0.5106  0.2580  0.00
Pr  0.5001  0.4894  0.7420  0.00
Y  0.0000  0.0000  0.5000  0.00
Pu  0.0000  0.0000  0.0000  1.48